1.
This record from Alexandria describes crystalline Ca2HfNb at its relaxed geometry. The functional is PBE-GGA.

Lattice parameters (Å, degrees): 5.322 5.322 5.322 60.00 60.00 60.00
Fractional positions:
Ca 0.750 0.750 0.750
Hf 0.500 0.500 0.500
Nb 0.000 0.000 0.000
Ca 0.250 0.250 0.250

* N(E_F): 1.264 states/eV per atom
* calculated density: 5.48 g/cm³
* ΔH_f (0 K): 3.6 eV/f.u.
* offset from the most stable computed form: 0 meV per atom
* calculated total energy: -5.100 eV per atom

---

2.
This record from Alexandria describes crystalline CaHf2Nb2 at its relaxed geometry. The functional is PBE-GGA.

Lattice parameters (Å, degrees): 8.359 8.359 3.295 90.00 90.00 90.00
Fractional positions:
Nb 0.137 0.363 0.000
Hf 0.146 0.646 0.500
Nb 0.863 0.637 0.000
Nb 0.637 0.137 0.000
Hf 0.854 0.354 0.500
Hf 0.354 0.146 0.500
Ca 0.000 0.000 0.000
Ca 0.500 0.500 0.000
Nb 0.363 0.863 0.000
Hf 0.646 0.854 0.500

* N(E_F): 1.105 states/eV per atom
* calculated density: 8.41 g/cm³
* ΔH_f (0 K): 1.6 eV/f.u.
* calculated total energy: -8.096 eV per atom

---

3.
This record from Alexandria describes crystalline CaHfNb2 at its relaxed geometry. The functional is PBE-GGA.

Lattice parameters (Å, degrees): 4.965 4.965 4.965 60.00 60.00 60.00
Fractional positions:
Nb 0.250 0.250 0.250
Ca 0.000 0.000 0.000
Hf 0.500 0.500 0.500
Nb 0.750 0.750 0.750

* N(E_F): 2.092 states/eV per atom
* calculated density: 7.76 g/cm³
* ΔH_f (0 K): 2.6 eV/f.u.
* offset from the most stable computed form: 0 meV per atom
* calculated total energy: -7.377 eV per atom

---

4.
This record from Alexandria describes crystalline CaHfNb2 at its relaxed geometry. The functional is PBE-GGA.

Lattice parameters (Å, degrees): 7.802 7.802 6.276 51.57 51.57 90.00
Fractional positions:
Nb 0.634 0.125 0.250
Ca 0.250 0.750 0.500
Hf 0.000 0.000 0.000
Nb 0.375 0.366 0.750
Hf 0.750 0.250 0.500
Ca 0.500 0.500 0.000
Nb 0.116 0.625 0.250
Nb 0.875 0.884 0.750

* N(E_F): 0.686 states/eV per atom
* calculated density: 7.37 g/cm³
* ΔH_f (0 K): 4.0 eV/f.u.
* offset from the most stable computed form: 361 meV per atom
* calculated total energy: -7.016 eV per atom

---

5.
This record from Alexandria describes crystalline Ca2HfNb at its relaxed geometry. The functional is PBE-GGA.

Lattice parameters (Å, degrees): 8.606 8.606 6.763 50.48 50.48 90.00
Fractional positions:
Ca 0.609 0.125 0.250
Nb 0.250 0.750 0.500
Nb 0.500 0.500 0.000
Ca 0.375 0.391 0.750
Ca 0.875 0.859 0.750
Hf 0.750 0.250 0.500
Hf 0.000 0.000 0.000
Ca 0.141 0.625 0.250

* N(E_F): 1.323 states/eV per atom
* calculated density: 5.34 g/cm³
* ΔH_f (0 K): 4.3 eV/f.u.
* offset from the most stable computed form: 169 meV per atom
* calculated total energy: -4.932 eV per atom

---

6.
This record from Alexandria describes crystalline Ca2HfNbO at its relaxed geometry. The functional is PBE-GGA.

Lattice parameters (Å, degrees): 6.196 3.850 6.196 90.00 90.00 90.00
Fractional positions:
Ca 0.500 0.000 0.000
Nb 0.000 0.000 0.000
Hf 0.500 0.500 0.500
O 0.000 0.500 0.000
Ca 0.000 0.000 0.500

* N(E_F): 0.780 states/eV per atom
* calculated density: 4.13 g/cm³
* uncorrected formation energy: 29 kJ/mol of atoms
* calculated total energy: -5.493 eV per atom

---

7.
This record from Alexandria describes crystalline CaHfNbO6 at its relaxed geometry. The functional is PBE-GGA.

Lattice parameters (Å, degrees): 4.992 4.992 9.859 90.00 90.00 90.00
Fractional positions:
O 0.217 0.783 0.810
O 0.821 0.179 0.495
Hf 0.000 0.000 0.663
O 0.708 0.708 0.694
O 0.179 0.821 0.495
Hf 0.500 0.500 0.163
O 0.717 0.717 0.310
O 0.292 0.292 0.694
O 0.792 0.208 0.194
O 0.208 0.792 0.194
O 0.321 0.321 0.995
Nb 0.000 0.000 0.338
Nb 0.500 0.500 0.838
Ca 0.000 0.000 0.001
O 0.283 0.283 0.310
Ca 0.500 0.500 0.501
O 0.679 0.679 0.995
O 0.783 0.217 0.810

* N(E_F): 0.409 states/eV per atom
* calculated density: 5.51 g/cm³
* uncorrected formation energy: -268 kJ/mol of atoms
* calculated total energy: -8.532 eV per atom

---

8.
This record from Alexandria describes crystalline CaHfNb2Pt at its relaxed geometry. The functional is PBE-GGA.

Lattice parameters (Å, degrees): 4.620 4.970 4.620 90.00 90.00 90.00
Fractional positions:
Nb 0.500 0.000 0.000
Nb 0.000 0.000 0.500
Ca 0.000 0.000 0.000
Hf 0.000 0.500 0.000
Pt 0.500 0.500 0.500

* N(E_F): 1.833 states/eV per atom
* calculated density: 9.38 g/cm³
* ΔH_f (0 K): 10.0 eV/f.u.
* calculated total energy: -5.619 eV per atom

---

9.
This record from Alexandria describes crystalline RbCa2HfNb at its relaxed geometry. The functional is PBE-GGA.

Lattice parameters (Å, degrees): 6.112 5.052 6.112 90.00 90.00 90.00
Fractional positions:
Ca 0.000 0.000 0.500
Rb 0.500 0.500 0.500
Nb 0.000 0.000 0.000
Hf 0.000 0.500 0.000
Ca 0.500 0.000 0.000

* N(E_F): 0.960 states/eV per atom
* calculated density: 3.84 g/cm³
* ΔH_f (0 K): 3.9 eV/f.u.
* calculated total energy: -4.219 eV per atom

---

10.
This record from Alexandria describes crystalline CaHf2NbTe at its relaxed geometry. The functional is PBE-GGA.

Lattice parameters (Å, degrees): 5.237 5.460 5.237 90.00 90.00 90.00
Fractional positions:
Te 0.000 0.000 0.000
Nb 0.500 0.500 0.500
Hf 0.000 0.000 0.500
Hf 0.500 0.000 0.000
Ca 0.000 0.500 0.000

* N(E_F): 0.983 states/eV per atom
* calculated density: 6.85 g/cm³
* uncorrected formation energy: 98 kJ/mol of atoms
* calculated total energy: -6.010 eV per atom

---

11.
This record from Alexandria describes crystalline Ca2HfZrNb at its relaxed geometry. The functional is PBE-GGA.

Lattice parameters (Å, degrees): 5.316 5.125 5.316 90.00 90.00 90.00
Fractional positions:
Nb 0.500 0.500 0.500
Hf 0.000 0.500 0.000
Zr 0.000 0.000 0.000
Ca 0.000 0.000 0.500
Ca 0.500 0.000 0.000

* N(E_F): 1.774 states/eV per atom
* calculated density: 5.08 g/cm³
* ΔH_f (0 K): 8.0 eV/f.u.
* calculated total energy: -4.916 eV per atom

---

12.
This record from Alexandria describes crystalline CaHfZrNb2 at its relaxed geometry. The functional is PBE-GGA.

Lattice parameters (Å, degrees): 4.788 4.999 4.788 90.00 90.00 90.00
Fractional positions:
Zr 0.000 0.500 0.000
Hf 0.500 0.500 0.500
Nb 0.000 0.000 0.500
Ca 0.000 0.000 0.000
Nb 0.500 0.000 0.000

* N(E_F): 2.186 states/eV per atom
* calculated density: 7.18 g/cm³
* ΔH_f (0 K): 9.2 eV/f.u.
* calculated total energy: -6.291 eV per atom